(1)
YZr2Br | PBE | optimized geometry

abc: 6.596 6.596 3.363
angles: 75.70 75.70 125.91
Element x y z (fractional)
1 Zr 0.500 0.500 0.000
2 Y 0.000 0.500 0.500
3 Br 0.500 0.000 0.500
4 Zr 0.000 0.000 0.000

Values from the calculation:
Energy above the lowest structure with this stoichiometry, eV/atom: 0.326
Calculated density, g/cm³: 5.86
Total moment, Bohr magnetons per cell: 0.01
Space group: C2/m

---

(2)
Er12Tm3Cd | PBE | optimized geometry

abc: 4.904 4.904 19.797
angles: 90.00 90.00 90.00
Element x y z (fractional)
1 Tm 0.000 0.000 0.248
2 Er 0.000 0.500 0.626
3 Er 0.000 0.500 0.374
4 Er 0.500 0.500 0.000
5 Er 0.000 0.500 0.878
6 Er 0.500 0.500 0.245
7 Er 0.000 0.500 0.122
8 Er 0.500 0.500 0.500
9 Er 0.500 0.000 0.122
10 Er 0.500 0.000 0.374
11 Tm 0.000 0.000 0.500
12 Er 0.500 0.000 0.626
13 Er 0.500 0.000 0.878
14 Tm 0.000 0.000 0.752
15 Cd 0.000 0.000 0.000
16 Er 0.500 0.500 0.755

Values from the calculation:
E_form, eV/atom: -0.0020
Calculated density, g/cm³: 9.16
Total moment, Bohr magnetons per cell: 0.00
Space group: P4/mmm

---

(3)
Mn7Fe2Co2 | PBE | optimized geometry

abc: 6.152 4.559 4.559
angles: 98.66 98.36 98.36
Last column: magnetic moment on the atom in μB.
Element x y z (fractional)
1 Mn 0.802 0.075 0.460  2.08
2 Co 0.153 0.403 0.403  -0.09
3 Fe 0.500 0.325 0.675  -0.54
4 Mn 0.802 0.460 0.075  2.08
5 Mn 0.198 0.540 0.925  2.08
6 Mn 0.407 0.140 0.140  -0.71
7 Mn 0.000 0.000 0.000  -1.94
8 Mn 0.593 0.860 0.860  -0.71
9 Mn 0.198 0.925 0.540  2.08
10 Fe 0.500 0.675 0.325  -0.54
11 Co 0.847 0.597 0.597  -0.09

Values from the calculation:
E_form, eV/atom: 0.1387
Calculated density, g/cm³: 8.28
Total moment, Bohr magnetons per cell: 3.79
Space group: C2/m

---

(4)
PmAlSi2Ni2 | PBE | optimized geometry

abc: 4.006 4.006 6.804
angles: 90.00 90.00 120.00
Element x y z (fractional)
1 Al 0.000 0.000 0.500
2 Pm 0.000 0.000 0.000
3 Ni 0.667 0.333 0.640
4 Si 0.667 0.333 0.283
5 Ni 0.333 0.667 0.360
6 Si 0.333 0.667 0.717

Values from the calculation:
DFT total energy, eV per cell: -35.251
Calculated density, g/cm³: 6.07
Total moment, Bohr magnetons per cell: 0.00
Space group: P-3m1

---

(5)
PaMn2Ni | PBE | optimized geometry

abc: 3.782 3.975 3.975
angles: 90.00 90.00 90.00
Last column: magnetic moment on the atom in μB.
Element x y z (fractional)
1 Ni 0.500 0.000 0.000  0.29
2 Mn 0.000 0.000 0.500  2.32
3 Mn 0.000 0.500 0.000  2.32
4 Pa 0.500 0.500 0.500  -0.49

Values from the calculation:
E_form, eV/atom: -0.0439
Energy above the lowest structure with this stoichiometry, eV/atom: 0.013
Calculated density, g/cm³: 11.10
Total moment, Bohr magnetons per cell: 4.45
Space group: P4/mmm

---

(6)
Pm3Dy2TmBi6 | PBE | optimized geometry

abc: 4.522 9.037 10.103
angles: 102.80 102.93 90.00
Element x y z (fractional)
1 Bi 0.999 0.756 0.998
2 Dy 0.834 0.667 0.667
3 Pm 0.500 0.500 0.000
4 Pm 0.833 0.166 0.666
5 Bi 0.336 0.913 0.672
6 Bi 0.001 0.244 0.002
7 Bi 0.332 0.420 0.663
8 Dy 0.166 0.333 0.333
9 Pm 0.167 0.834 0.334
10 Bi 0.664 0.087 0.328
11 Bi 0.668 0.580 0.337
12 Tm 0.500 0.000 0.000

Values from the calculation:
E_form, eV/atom: -0.8852
Calculated density, g/cm³: 9.25
Total moment, Bohr magnetons per cell: 0.00
Space group: C2/m

---

(7)
MnRhS2 | PBE | optimized geometry

abc: 4.296 4.296 4.296
angles: 60.00 60.00 60.00
Last column: magnetic moment on the atom in μB.
Element x y z (fractional)
1 S 0.750 0.750 0.750  -0.09
2 Mn 0.000 0.000 0.000  3.52
3 S 0.250 0.250 0.250  -0.09
4 Rh 0.500 0.500 0.500  -0.17

Values from the calculation:
Energy above the lowest structure with this stoichiometry, eV/atom: 0.263
Calculated density, g/cm³: 6.58
Total moment, Bohr magnetons per cell: 3.28
Space group: Fm-3m

---

(8)
YTm3Tc | PBE | optimized geometry

abc: 7.205 7.205 7.196
angles: 106.65 114.54 107.39
Element x y z (fractional)
1 Tm 0.850 0.058 0.301
2 Tm 0.757 0.550 0.699
3 Y 0.710 0.053 0.763
4 Tc 0.627 0.747 0.375
5 Tm 0.150 0.942 0.699
6 Tc 0.373 0.253 0.625
7 Tm 0.297 0.555 0.853
8 Y 0.290 0.947 0.237
9 Tm 0.703 0.445 0.147
10 Tm 0.243 0.450 0.301

Values from the calculation:
E_form, eV/atom: -0.0331
Energy above the lowest structure with this stoichiometry, eV/atom: 0.000
Calculated density, g/cm³: 8.06
Total moment, Bohr magnetons per cell: 0.00
Space group: C2/m